[1]
Density functional theory data (PBE) for a relaxed DyTmSbTe crystal.

Geometry as POSCAR:
```
DyTmSbTe
1.0
-0.128 -0.464 4.235
1.357 -3.209 -2.455
6.636 3.962 -1.509
Dy Tm Sb Te
1 1 1 1
Direct
0.481 0.138 0.634
0.124 0.960 0.100
0.308 0.552 0.876
0.965 0.381 0.361
```

Electronic total energy ... -21.0 eV/cell
Space group ... R3m, No. 160
Mass density ... 8.2 g cm⁻³
Formation energy from raw total energies ... -1171 meV per atom

---

[2]
Density functional theory data (PBE) for a relaxed La2Cl crystal.

Geometry as POSCAR:
```
La2Cl
1.0
6.122 -0.004 0.000
-2.808 5.440 0.000
-1.657 -2.718 5.229
Cl La
2 4
Direct
0.750 0.750 0.000
0.250 0.250 0.000
0.343 0.157 0.500
0.657 0.843 0.500
0.157 0.657 0.813
0.843 0.343 0.187
```

Electronic total energy ... -29.3 eV/cell
Space group ... I4/mcm, No. 140
Mass density ... 6.0 g cm⁻³
Formation energy from raw total energies ... -978 meV per atom

---

[3]
Density functional theory data (PBE) for a relaxed CrHg2As crystal.

Geometry as POSCAR:
```
CrHg2As
1.0
3.106 0.024 0.000
-0.026 3.106 0.000
0.000 0.000 8.558
As Cr Hg
1 1 2
Direct
0.500 0.500 0.250
0.500 0.500 0.750
0.000 0.000 0.978
0.000 0.000 0.522
```

Energy of formation ... 421 meV per atom
Electronic total energy ... -13.2 eV/cell
Space group ... P4/mmm, No. 123
Mass density ... 10.6 g cm⁻³

---

[4]
Density functional theory data (PBE) for a relaxed Tb3NdDy6Y2 crystal.

Geometry as POSCAR:
```
Tb3NdDy6Y2
1.0
-2.261 -2.723 5.051
5.890 -0.886 -1.602
1.920 10.421 5.229
Tb Nd Dy Y
3 1 6 2
Direct
0.167 0.833 0.500
0.833 0.167 0.500
0.500 0.500 0.500
0.000 0.000 0.000
0.916 0.582 0.748
0.751 0.751 0.252
0.084 0.418 0.252
0.582 0.916 0.748
0.249 0.249 0.748
0.418 0.084 0.252
0.333 0.667 0.000
0.667 0.333 0.000
```

Energy of formation ... 16 meV per atom
Electronic total energy ... -59.0 eV/cell
Space group ... C2/m, No. 12
Mass density ... 7.7 g cm⁻³

---

[5]
Density functional theory data (PBE) for a relaxed BeSiTc2C crystal.

Geometry as POSCAR:
```
BeSiTc2C
1.0
-3.762 -1.758 -0.317
0.282 -1.152 3.047
-1.750 3.479 1.477
C Be Si Tc
1 1 1 2
Direct
0.000 0.000 0.000
0.000 0.500 0.000
0.500 0.500 0.500
0.000 0.000 0.500
0.500 0.000 0.000
```

Electronic total energy ... -39.5 eV/cell
Space group ... P4/mmm, No. 123
Mass density ... 7.2 g cm⁻³
Formation energy from raw total energies ... -75 meV per atom

---

[6]
Density functional theory data (PBE) for a relaxed TbCuNiAu crystal.

Geometry as POSCAR:
```
TbCuNiAu
1.0
-3.106 -3.140 -1.210
0.403 -4.312 1.489
-2.938 -1.632 3.111
Tb Au Cu Ni
1 1 1 1
Direct
0.000 0.000 0.000
0.500 0.500 0.500
0.250 0.250 0.250
0.750 0.750 0.750
```

Energy of formation ... -329 meV per atom
Electronic total energy ... -19.1 eV/cell
Space group ... F-43m, No. 216
Mass density ... 11.7 g cm⁻³

---

[7]
Density functional theory data (PBE) for a relaxed ScSb2 crystal.

Geometry as POSCAR:
```
ScSb2
1.0
-6.052 -3.043 -4.463
-2.552 -2.319 -7.343
5.073 0.557 6.306
Sb Sc
2 1
Direct
0.363 0.363 0.000
0.637 0.637 0.000
0.000 0.000 0.000
```

Electronic total energy ... -15.8 eV/cell
Space group ... I4/mmm, No. 139
Mass density ... 5.8 g cm⁻³
Formation energy from raw total energies ... -400 meV per atom

---

[8]
Density functional theory data (PBE) for a relaxed Ni5PdPt6 crystal.

Geometry as POSCAR:
```
Ni5PdPt6
1.0
-2.707 -2.502 1.166
4.865 -3.897 -3.475
3.008 2.512 5.965
Ni Pt Pd
5 6 1
Direct
0.500 0.165 0.835
0.000 0.328 0.672
0.500 0.500 0.500
0.000 0.672 0.328
0.500 0.835 0.165
0.259 0.090 0.427
0.741 0.573 0.910
0.765 0.265 0.265
0.235 0.735 0.735
0.259 0.427 0.090
0.741 0.910 0.573
0.000 0.000 0.000
```

Energy of formation ... -82 meV per atom
Electronic total energy ... -71.3 eV/cell
Space group ... Immm, No. 71
Mass density ... 15.7 g cm⁻³

---

[9]
Density functional theory data (PBE) for a relaxed LaDyHo5 crystal.

Geometry as POSCAR:
```
LaDyHo5
1.0
-5.739 -1.107 -3.412
-0.064 -4.580 -4.982
-6.639 -11.779 2.056
La Dy Ho
2 2 10
Direct
0.724 0.276 0.750
0.276 0.724 0.250
0.000 0.000 0.000
0.000 0.000 0.500
0.164 0.395 0.751
0.638 0.699 0.501
0.395 0.164 0.251
0.157 0.843 0.750
0.301 0.362 0.999
0.699 0.638 0.001
0.843 0.157 0.250
0.605 0.836 0.749
0.362 0.301 0.499
0.836 0.605 0.249
```

Energy of formation ... 202 meV per atom
Electronic total energy ... -62.0 eV/cell
Space group ... C2/c, No. 15
Mass density ... 8.2 g cm⁻³

---

[10]
Density functional theory data (PBE) for a relaxed LiLaHo2 crystal.

Geometry as POSCAR:
```
LiLaHo2
1.0
3.494 0.000 0.000
1.747 3.026 0.000
1.747 1.009 12.184
Li Ho La
1 2 1
Direct
0.000 0.000 0.000
0.088 0.088 0.736
0.912 0.912 0.264
0.500 0.500 0.500
```

Energy of formation ... 208 meV per atom
Electronic total energy ... -15.2 eV/cell
Space group ... R-3m, No. 166
Mass density ... 6.1 g cm⁻³

---

[11]
Density functional theory data (PBE) for a relaxed AcAl2Co crystal.

Geometry as POSCAR:
```
AcAl2Co
1.0
4.384 0.000 0.000
0.000 4.243 -1.036
0.000 0.030 9.331
Ac Al Co
2 4 2
Direct
0.000 0.859 0.718
0.000 0.141 0.282
0.000 0.500 0.000
0.500 0.000 0.000
0.500 0.705 0.410
0.500 0.295 0.590
0.500 0.567 0.133
0.500 0.433 0.867
```

Energy of formation ... -340 meV per atom
Electronic total energy ... -40.1 eV/cell
Space group ... Cmmm, No. 65
Mass density ... 6.5 g cm⁻³

---

[12]
Density functional theory data (PBE) for a relaxed NpU2Os crystal.

Geometry as POSCAR:
```
NpU2Os
1.0
5.139 -0.822 0.268
-3.456 3.576 -1.557
1.174 -0.549 5.046
Np U Os
1 2 1
Direct
0.500 0.000 0.500
0.765 0.500 0.265
0.235 0.500 0.735
0.000 0.000 0.000
```

Energy of formation ... -78 meV per atom
Electronic total energy ... -47.1 eV/cell
Space group ... Immm, No. 71
Mass density ... 20.0 g cm⁻³